Computed, not measured: a relaxed NaMnAg2F6 crystal at the PBE with a Hubbard U level of DFT.

Structure (POSCAR):
```
NaMnAg2F6
1.0
5.787 0.000 0.041
0.000 6.003 0.000
0.110 0.000 8.174
F Mn Na Ag
12 2 2 4
Direct
0.602 0.046 0.278
0.398 0.954 0.722
0.306 0.720 0.427
0.736 0.318 0.965
0.898 0.546 0.222
0.806 0.780 0.927
0.102 0.454 0.778
0.264 0.682 0.035
0.694 0.280 0.573
0.194 0.220 0.073
0.236 0.182 0.465
0.764 0.818 0.535
0.500 0.000 0.500
0.000 0.500 0.000
0.500 0.000 0.000
0.000 0.500 0.500
0.480 0.455 0.250
0.020 0.955 0.250
0.980 0.045 0.750
0.520 0.545 0.750
```

The symmetry is No. 14. The total energy comes out at -4.5272 eV/atom.